BeGa2Fe PBE optimized geometry; symmetry = No. 123; DOS at the Fermi energy = 0.902 states/eV/atom
1.0
-3.300 1.306 0.219
-0.679 -1.134 -3.462
-1.202 -3.255 1.302
Be Fe Ga
1 1 2
direct
0.500 0.500 0.500
0.500 0.000 0.000
0.000 0.000 0.500
0.000 0.500 0.000

Be2Ga2Fe PBE optimized geometry; symmetry = No. 127; DOS at the Fermi energy = 0.348 states/eV/atom
1.0
5.931 0.000 0.000
0.000 5.931 0.000
0.000 0.000 3.231
Be Fe Ga
4 2 4
direct
0.369 0.869 0.000
0.869 0.631 0.000
0.631 0.131 0.000
0.131 0.369 0.000
0.000 0.000 0.000
0.500 0.500 0.000
0.171 0.671 0.500
0.671 0.829 0.500
0.829 0.329 0.500
0.329 0.171 0.500

BeGaFe2 PBE optimized geometry; symmetry = No. 160; DOS at the Fermi energy = 0.659 states/eV/atom
1.0
2.604 0.000 0.000
1.302 2.256 0.000
1.302 0.752 7.882
Be Ga Fe
1 1 2
direct
0.667 0.667 0.000
0.500 0.500 0.500
0.078 0.078 0.767
0.256 0.256 0.232

BeGaFe2 PBE optimized geometry; symmetry = No. 122; DOS at the Fermi energy = 0.535 states/eV/atom
1.0
-0.744 2.433 -2.331
-2.599 -1.934 -1.189
-6.885 3.895 3.711
Be Fe Ga
2 4 2
direct
0.500 0.500 0.000
0.250 0.750 0.500
0.611 0.125 0.250
0.139 0.625 0.250
0.375 0.389 0.750
0.875 0.861 0.750
0.000 0.000 0.000
0.750 0.250 0.500

BeGaFe PBE optimized geometry; symmetry = No. 40; DOS at the Fermi energy = 0.731 states/eV/atom
1.0
3.992 0.000 0.000
0.000 4.554 -0.422
0.000 -2.498 3.832
Fe Ga Be
2 2 2
direct
0.750 0.509 0.990
0.250 0.010 0.491
0.250 0.326 0.175
0.750 0.825 0.674
0.250 0.633 0.869
0.750 0.131 0.367

BeGaFe2 PBE optimized geometry; symmetry = No. 123; DOS at the Fermi energy = 0.948 states/eV/atom
1.0
-2.202 0.154 -1.737
1.339 -1.643 -1.843
-2.157 -4.389 2.346
Be Fe Ga
1 2 1
direct
0.500 0.500 0.000
0.000 0.000 0.783
0.000 0.000 0.217
0.500 0.500 0.500

BeGaFe14 PBE optimized geometry; symmetry = No. 123; DOS at the Fermi energy = 0.967 states/eV/atom
1.0
-1.198 -4.625 1.478
1.411 -1.789 -4.453
6.565 -0.919 2.449
Be Ga Fe
1 1 14
direct
0.875 0.875 0.500
0.375 0.375 0.500
0.875 0.875 0.000
0.375 0.375 0.000
0.875 0.375 0.500
0.875 0.375 0.000
0.375 0.875 0.500
0.375 0.875 0.000
0.629 0.121 0.247
0.629 0.121 0.753
0.121 0.629 0.247
0.121 0.629 0.753
0.629 0.629 0.247
0.629 0.629 0.753
0.121 0.121 0.247
0.121 0.121 0.753

BeGaFe2 PBE optimized geometry; symmetry = No. 123; DOS at the Fermi energy = 0.604 states/eV/atom
1.0
3.610 0.000 0.000
0.000 3.536 0.000
0.000 0.000 3.536
Be Fe Ga
1 2 1
direct
0.500 0.500 0.500
0.000 0.000 0.500
0.000 0.500 0.000
0.500 0.000 0.000

| no. | energy (eV per atom) |
| --- | --- |
| 1 | -4.501 |
| 2 | -4.167 |
| 3 | -5.884 |
| 4 | -5.597 |
| 5 | -5.126 |
| 6 | -6.011 |
| 7 | -7.801 |
| 8 | -6.025 |